A geometry-optimized NaPbWI structure, computed with PBE.

abc: 3.4258 3.4258 8.2546
angles: 90.00 90.00 90.00
Positions (direct):
Na (0.0000, 0.0000, 0.0492)
Pb (0.5000, 0.5000, 0.7730)
W (0.0000, 0.0000, 0.5426)
I (0.5000, 0.5000, 0.3580)

Calculated values
D(E_F) (states/eV/cell): 1.724
Formation energy (no corrections) (eV per formula unit): 2.3
Space-group type: P4mm (99)
Excess energy over the best structure of this formula in the dataset (kJ per mole of atoms): 4.2